# PaBrF3 PBE-GGA relaxed
data_PaBrF3
_chemical_formula_sum 'Pa2 Br2 F6'
_cell_length_a 5.1050
_cell_length_b 7.5852
_cell_length_c 5.7538
_cell_angle_alpha 90.00
_cell_angle_beta 103.50
_cell_angle_gamma 90.00
_space_group_name_H-M_alt 'P 1'
_space_group_IT_number 1
loop_
_space_group_symop_operation_xyz
'x,y,z'
loop_
_atom_site_label
_atom_site_type_symbol
_atom_site_fract_x
_atom_site_fract_y
_atom_site_fract_z
Pa1 Pa 0.0836 0.2500 0.0067
Pa2 Pa 0.9164 0.7500 0.9933
Br1 Br 0.3282 0.7500 0.7171
Br2 Br 0.6718 0.2500 0.2829
F1 F 0.1803 0.5293 0.1868
F2 F 0.1803 0.9707 0.1868
F3 F 0.2665 0.2500 0.7236
F4 F 0.7335 0.7500 0.2764
F5 F 0.8197 0.0293 0.8132
F6 F 0.8197 0.4707 0.8132
# - ΔE_f (raw): -3.133 eV/atom
# - N(E_F): 1.65 states/eV/f.u.